No. 1
! HgMoBr4, relaxed, DFT GGA-PBE; values from VASP
&SYSTEM
  ibrav = 0, nat = 12, ntyp = 3
/
ATOMIC_SPECIES
Hg 200.59 Hg.upf
Mo 95.94 Mo.upf
Br 79.90 Br.upf
CELL_PARAMETERS angstrom
15.485 0.000 0.000
0.000 3.797 3.613
0.000 -3.797 3.613
ATOMIC_POSITIONS angstrom
Hg 0.000 0.000 0.000
Hg 7.743 0.000 0.000
Mo 3.871 1.650 4.992
Mo 11.614 -1.650 4.992
Br 1.323 1.580 4.995
Br 3.871 -0.517 3.576
Br 3.871 -0.013 7.209
Br 6.420 1.580 4.995
Br 9.066 -1.580 4.995
Br 11.614 0.517 3.576
Br 11.614 0.013 7.209
Br 14.162 -1.580 4.995
! Formation energy without anion corrections   -251 meV per atom
! Energy relative to the lowest polymorph listed for this composition   0.000 eV/atom
! Raw total energy   -3.222 eV/atom

No. 2
! HgMoBr3, relaxed, DFT GGA-PBE; values from VASP
&SYSTEM
  ibrav = 0, nat = 10, ntyp = 3
/
ATOMIC_SPECIES
Hg 200.59 Hg.upf
Mo 95.94 Mo.upf
Br 79.90 Br.upf
CELL_PARAMETERS angstrom
3.405 0.000 0.000
-1.700 9.200 0.000
-0.014 -0.890 10.343
ATOMIC_POSITIONS angstrom
Hg -0.003 2.540 4.862
Hg 1.696 5.770 5.481
Mo 0.002 5.793 0.401
Mo 1.690 2.516 9.942
Br 0.000 1.794 0.734
Br -0.011 3.797 8.442
Br 0.000 7.481 2.293
Br 1.692 0.828 8.051
Br 1.703 4.512 1.901
Br 1.692 6.516 9.609
! Formation energy without anion corrections   -323 meV per atom
! Energy relative to the lowest polymorph listed for this composition   0.000 eV/atom
! Raw total energy   -3.553 eV/atom

No. 3
! Hg2MoBr, relaxed, DFT GGA-PBE; values from VASP
&SYSTEM
  ibrav = 0, nat = 4, ntyp = 3
/
ATOMIC_SPECIES
Hg 200.59 Hg.upf
Mo 95.94 Mo.upf
Br 79.90 Br.upf
CELL_PARAMETERS angstrom
2.962 0.000 0.000
0.000 2.962 0.000
0.000 0.000 10.571
ATOMIC_POSITIONS angstrom
Hg 0.000 0.000 2.088
Hg 0.000 0.000 8.483
Mo 1.481 1.481 0.000
Br 1.481 1.481 5.285
! Formation energy without anion corrections   582 meV per atom
! Energy relative to the lowest polymorph listed for this composition   0.285 eV/atom
! Raw total energy   -2.695 eV/atom

No. 4
! Hg2MoBr, relaxed, DFT GGA-PBE; values from VASP
&SYSTEM
  ibrav = 0, nat = 4, ntyp = 3
/
ATOMIC_SPECIES
Hg 200.59 Hg.upf
Mo 95.94 Mo.upf
Br 79.90 Br.upf
CELL_PARAMETERS angstrom
1.696 -2.820 0.000
1.696 2.820 0.000
0.000 0.000 9.251
ATOMIC_POSITIONS angstrom
Hg 0.000 0.000 2.224
Hg 0.000 0.000 7.027
Mo 1.696 0.000 0.000
Br 1.696 0.000 4.626
! Formation energy without anion corrections   584 meV per atom
! Energy relative to the lowest polymorph listed for this composition   0.287 eV/atom
! Raw total energy   -2.693 eV/atom